The following is a PBE calculation of a relaxed Ce2VCo crystal, from Alexandria via LeMat-Bulk.

The space group is R-3m (No. 166, hexagonal axes) and the conventional cell measures 2.9045, 2.9045 and 30.3584 Å, with angles of 90.00, 90.00 and 120.00 degrees. The inequivalent atoms are Ce at (0.0000, 0.0000, 0.2443), V at (0.0000, 0.0000, 0.0000) and Co at (0.0000, 0.0000, 0.5000).



The following is a PBE calculation of a relaxed CeVCo4 crystal, from Alexandria via LeMat-Bulk.

The space group is F-43m (No. 216) and the conventional cell measures 6.8860, 6.8860 and 6.8860 Å, with angles of 90.00, 90.00 and 90.00 degrees. The inequivalent atoms are Ce at (0.0000, 0.0000, 0.0000), V at (0.2500, 0.2500, 0.2500) and Co at (0.1240, 0.1240, 0.6240).



The following is a PBE calculation of a relaxed Ce2VCo16 crystal, from Alexandria via LeMat-Bulk.

The space group is P-3m1 (No. 164) and the conventional cell measures 8.2988, 8.2988 and 8.1352 Å, with angles of 90.00, 90.00 and 120.00 degrees. The inequivalent atoms are Ce at (0.0000, 0.0000, 0.2466), Ce at (0.3333, 0.6667, 0.2616), V at (0.3333, 0.6667, 0.8869), Co at (0.0000, 0.5000, 0.0000), Co at (0.0000, 0.5000, 0.5000), Co at (0.0438, 0.3716, 0.7504), Co at (0.1668, 0.3336, 0.4815), Co at (0.1689, 0.3378, 0.0251) and Co at (0.3333, 0.6667, 0.6097).



The following is a PBE calculation of a relaxed Ce2YCo crystal, from Alexandria via LeMat-Bulk.

The space group is Pnma (No. 62) and the conventional cell measures 6.8084, 9.4634 and 6.0814 Å, with angles of 90.00, 90.00 and 90.00 degrees. The inequivalent atoms are Ce at (0.1554, 0.0630, 0.1374), Y at (0.0536, 0.2500, 0.6279) and Co at (0.0911, 0.7500, 0.8762).



What did we get for formation enthalpy at 0 K? Answer: 0.48; 0.00; -0.10; -0.13 eV/atom, in the order shown.